Compound: Pr2MgS4
Source: Alexandria
Functional: PBE-GGA
Structure: relaxed

- N(E_F) (states/eV/cell) = 0.0
- polymorph energy (0 for the lowest one) (meV per atom) = 141

abc: 8.304 7.149 11.868
angles: 90.00 90.00 90.00
Space group Pnma (No. 62)
Symmetry-distinct sites (fractional):
Pr 0.031 0.250 0.184 (multiplicity 4)
Pr 0.092 0.750 0.462 (multiplicity 4)
Mg 0.195 0.750 0.081 (multiplicity 4)
S 0.083 0.250 0.942 (multiplicity 4)
S 0.145 0.507 0.653 (multiplicity 8)
S 0.204 0.250 0.391 (multiplicity 4)

=====

Compound: BaYSi2W
Source: Alexandria
Functional: PBE-GGA
Structure: relaxed

- N(E_F) (states/eV/cell) = 6.9

abc: 5.325 5.325 6.151
angles: 90.00 90.00 90.00
Space group P4/mmm (No. 123)
Symmetry-distinct sites (fractional):
Ba 0.000 0.000 0.000 (multiplicity 1)
Y 0.000 0.000 0.500 (multiplicity 1)
Si 0.000 0.500 0.500 (multiplicity 2)
W 0.500 0.500 0.000 (multiplicity 1)

=====

Table of raw formation energy (meV/atom), in record order: -1686, 1885